[1]
This record from Alexandria describes an optimized crystal structure of CaPAu2. The functional is GGA-PBEsol.

```
4
Lattice="3.284 0.000 0.000 0.000 4.374 0.000 0.000 0.000 5.590" Properties=species:S:1:pos:R:3 pbc="T T T"
Ca 0.000 0.000 3.246
Au 1.642 2.187 0.803
Au 0.000 0.000 0.515
P 1.642 2.187 3.821
```

The density of states at the Fermi level comes out at 1.4 states/eV/f.u. The space-group type is Pmm2 (25). The crystal system is orthorhombic. The value obtained for the energy relative to the elements is -236 meV/atom.

[2]
This record from Alexandria describes an optimized crystal structure of CaPAu2. The functional is GGA-PBEsol.

```
4
Lattice="-4.439 -0.034 0.820 -2.965 -1.062 -3.667 -2.203 -4.291 0.320" Properties=species:S:1:pos:R:3 pbc="T T T"
Ca -4.799 -2.659 -1.237
P -2.347 -0.943 -0.315
Au -4.477 -0.311 0.603
Au -7.228 -4.201 -2.022
```

The density of states at the Fermi level comes out at 1.8 states/eV/f.u. The space-group type is Imm2 (44). The crystal system is orthorhombic. The value obtained for the energy relative to the elements is -400 meV/atom.

Copy entry 2 word for word.
This record from Alexandria describes an optimized crystal structure of CaPAu2. The functional is GGA-PBEsol.

```
4
Lattice="-4.439 -0.034 0.820 -2.965 -1.062 -3.667 -2.203 -4.291 0.320" Properties=species:S:1:pos:R:3 pbc="T T T"
Ca -4.799 -2.659 -1.237
P -2.347 -0.943 -0.315
Au -4.477 -0.311 0.603
Au -7.228 -4.201 -2.022
```

The density of states at the Fermi level comes out at 1.8 states/eV/f.u. The space-group type is Imm2 (44). The crystal system is orthorhombic. The value obtained for the energy relative to the elements is -400 meV/atom.